ZnReAs2: relaxed, GGA-PBE.

a = 3.254 Å, b = 3.254 Å, c = 6.868 Å
α = 90.00°, β = 90.00°, γ = 90.00°
Sites, in units of the cell vectors:
Zn: 0.000 0.000 0.000
Re: 0.500 0.500 0.786
As: 0.000 0.000 0.603
As: 0.500 0.500 0.176

Computed properties:
The calculated total energy comes out at -21.8 eV/cell. The calculation puts the total magnetization at 0.00 μB per formula unit. The value obtained for the formation energy is 0.30 eV per atom. As for the space group: P4mm (99).